Record 1
DFT (PBE-GGA) results for a relaxed structure of UTlCu2O8.

Output
Energy relative to the elements, uncorrected = -1066 meV/atom
Space-group type = I-4m2
Uncorrected energy = -74.3 eV/f.u.
Density of states at the Fermi level = 8.33 states/eV/f.u.
Mass density = 7298 kg/m3

Cell lengths 5.9078, 5.9078, 5.9078 Å; angles 109.87, 109.87, 108.68 degrees
With the nearest neighbours (Å) after each atom.
Fractional coordinates of all 12 atoms:
U 0.0000 0.0000 0.0000  4 O 2.08
Tl 0.2500 0.7500 0.5000  8 O 2.25-2.50
Cu 0.7500 0.2500 0.5000  4 O 1.90
Cu 0.5000 0.5000 0.0000  4 O 1.83
O 0.3573 0.0557 0.3017  1 Cu 1.90, 1 U 2.08
O 0.2945 0.4658 0.1714  1 Cu 1.83
O 0.2945 0.1231 0.8286  1 Cu 1.83
O 0.7540 0.0557 0.6983  1 Cu 1.90, 1 U 2.08
O 0.8769 0.7055 0.1714  1 Cu 1.83
O 0.9443 0.2460 0.3017  1 Cu 1.90, 1 U 2.08
O 0.9443 0.6427 0.6983  1 Cu 1.90, 1 U 2.08
O 0.5342 0.7055 0.8286  1 Cu 1.83

=====

Record 2
DFT (PBE-GGA) results for a relaxed structure of UTlCu2O6.

Output
Energy relative to the elements, uncorrected = -1442 meV/atom
Space-group type = C2/c
Uncorrected energy = -66.0 eV/f.u.
Density of states at the Fermi level = 3.92 states/eV/f.u.
Mass density = 7184 kg/m3

Cell lengths 6.2687, 7.4942, 7.4942 Å; angles 77.90, 69.58, 69.58 degrees
With the nearest neighbours (Å) after each atom.
Fractional coordinates of all 20 atoms:
U 0.2500 0.2691 0.7309  6 O 2.06-2.27
U 0.7500 0.7309 0.2691  6 O 2.06-2.27
Tl 0.2500 0.8998 0.1002  6 O 2.26-2.50
Tl 0.7500 0.1002 0.8998  6 O 2.26-2.50
Cu 0.3525 0.7547 0.6447  4 O 1.90-2.05
Cu 0.1475 0.3553 0.2453  4 O 1.90-2.05
Cu 0.6475 0.2453 0.3553  4 O 1.90-2.05
Cu 0.8525 0.6447 0.7547  4 O 1.90-2.05
O 0.1964 0.9756 0.7997  1 Cu 1.98
O 0.3036 0.2003 0.0244  1 Cu 1.98
O 0.8036 0.0244 0.2003  1 Cu 1.98
O 0.6964 0.7997 0.9756  1 Cu 1.98
O 0.3826 0.8172 0.3595  1 Cu 2.05, 1 U 2.06, 1 Tl 2.26
O 0.1174 0.6405 0.1828  1 Cu 2.05, 1 U 2.06, 1 Tl 2.26
O 0.6174 0.1828 0.6405  1 Cu 2.05, 1 U 2.06, 1 Tl 2.26
O 0.8826 0.3595 0.8172  1 Cu 2.05, 1 U 2.06, 1 Tl 2.26
O 0.1994 0.5596 0.7258  2 Cu 1.90-1.99, 1 U 2.08
O 0.3006 0.2742 0.4404  2 Cu 1.90-1.99, 1 U 2.08
O 0.8006 0.4404 0.2742  2 Cu 1.90-1.99, 1 U 2.08
O 0.6994 0.7258 0.5596  2 Cu 1.90-1.99, 1 U 2.08

=====

Record 3
DFT (PBE-GGA) results for a relaxed structure of UTl2CuO6.

Output
Energy relative to the elements, uncorrected = -1482 meV/atom
Space-group type = I4/mmm
Uncorrected energy = -64.7 eV/f.u.
Density of states at the Fermi level = 4.42 states/eV/f.u.
Mass density = 8882 kg/m3

Cell lengths 5.5539, 5.5540, 6.2722 Å; angles 63.69, 63.69, 89.99 degrees
With the nearest neighbours (Å) after each atom.
Fractional coordinates of all 10 atoms:
U 0.0000 0.0000 0.0000  6 O 2.04-2.08
Tl 0.7500 0.2500 0.5000  12 O 2.81-3.14
Tl 0.2500 0.7500 0.5000  12 O 2.81-3.14
Cu 0.5000 0.5000 0.0000  4 O 1.84
O 0.2089 0.2089 0.5820  1 U 2.04
O 0.7351 0.7345 0.0000  1 Cu 1.84
O 0.2655 0.7351 0.0000  1 Cu 1.84
O 0.7345 0.2649 0.0000  1 Cu 1.84
O 0.2649 0.2655 0.0000  1 Cu 1.84
O 0.7911 0.7911 0.4180  1 U 2.04